Record 1
This record from Alexandria via LeMat-Bulk describes a geometry-optimized Be4Sb3 structure. The functional is PBE-GGA.

a b c (Å): 6.2988 6.2988 4.0159
angles (deg): 90.00 90.00 120.00
Last column: nearest neighbours and their distance in Å.
Space group P6/mmm (No. 191)
Inequivalent atoms, fractional coordinates:
Be 0.0000 0.0000 0.2505 [2 per cell]  2 Be 2.00-2.01
Be 0.3333 0.6667 0.0000 [2 per cell]  6 Sb 2.71
Sb 0.0000 0.5000 0.5000 [3 per cell]  4 Be 2.71

crystal system	hexagonal

***

Record 2
This record from Alexandria via LeMat-Bulk describes a geometry-optimized Be4Sb structure. The functional is PBE-GGA.

a b c (Å): 4.6267 4.6267 4.6267
angles (deg): 90.00 90.00 90.00
Last column: nearest neighbours and their distance in Å.
Space group Pm-3m (No. 221)
Inequivalent atoms, fractional coordinates:
Be 0.0000 0.0000 0.0000 [1 per cell]  12 Be 3.27
Be 0.0000 0.5000 0.5000 [3 per cell]  2 Sb 2.31
Sb 0.5000 0.5000 0.5000 [1 per cell]  6 Be 2.31

crystal system	cubic

***

Record 3
This record from Alexandria via LeMat-Bulk describes a geometry-optimized BeSb structure. The functional is PBE-GGA.

a b c (Å): 16.7118 3.6273 4.2910
angles (deg): 90.00 97.33 90.00
Last column: nearest neighbours and their distance in Å.
Space group Cm (No. 8)
Inequivalent atoms, fractional coordinates:
Be 0.0000 0.0000 0.0000 [2 per cell]  4 Be 2.11-2.26
Be 0.0050 0.5000 0.7525 [2 per cell]  4 Be 2.11-2.14
Be 0.4723 0.5000 0.5018 [2 per cell]  4 Be 2.13-2.26
Sb 0.0815 0.5000 0.2970 [2 per cell]  4 Be 2.47-2.52
Sb 0.2438 0.0000 0.8446 [2 per cell]  2 Sb 2.89-2.94
Sb 0.3625 0.0000 0.4117 [2 per cell]  3 Be 2.57-2.63

crystal system	monoclinic
energy above the most stable polymorph in this dataset	139	meV per atom

***

Record 4
This record from Alexandria via LeMat-Bulk describes a geometry-optimized BeSb structure. The functional is PBE-GGA.

a b c (Å): 11.9147 3.7761 6.7812
angles (deg): 90.00 124.60 90.00
Last column: nearest neighbours and their distance in Å.
Space group Cm (No. 8)
Inequivalent atoms, fractional coordinates:
Be 0.0000 0.0000 0.0000 [2 per cell]  2 Be 2.43, 4 Sb 2.51-2.57
Be 0.1503 0.5000 0.0919 [2 per cell]  4 Be 2.43-2.44, 4 Sb 2.50-2.56
Be 0.3032 0.0000 0.3022 [2 per cell]  2 Be 2.44, 4 Sb 2.51-2.56
Sb 0.1513 0.0000 0.8504 [2 per cell]  4 Be 2.50-2.52
Sb 0.3075 0.5000 0.5504 [2 per cell]  4 Be 2.51-2.57
Sb 0.4959 0.0000 0.2394 [2 per cell]  4 Be 2.51-2.56

crystal system	monoclinic
energy above the most stable polymorph in this dataset	78	meV per atom

***

Record 5
This record from Alexandria via LeMat-Bulk describes a geometry-optimized BeSb structure. The functional is PBE-GGA.

a b c (Å): 3.1457 15.9635 3.5902
angles (deg): 90.00 90.00 90.00
Last column: nearest neighbours and their distance in Å.
Space group Cmcm (No. 63)
Inequivalent atoms, fractional coordinates:
Be 0.0000 0.2145 0.2500 [4 per cell]  5 Sb 2.46-2.73, 4 Be 2.64
Sb 0.0000 0.3688 0.2500 [4 per cell]  5 Be 2.46-2.73

crystal system	orthorhombic
energy above the most stable polymorph in this dataset	162	meV per atom

***

Record 6
This record from Alexandria via LeMat-Bulk describes a geometry-optimized Be5Sb structure. The functional is PBE-GGA.

a b c (Å): 3.6324 4.2038 10.2624
angles (deg): 90.00 90.00 90.00
Last column: nearest neighbours and their distance in Å.
Space group Imm2 (No. 44)
Inequivalent atoms, fractional coordinates:
Be 0.0000 0.0000 0.0000 [2 per cell]  1 Be 1.98
Be 0.0000 0.0000 0.1931 [2 per cell]  1 Be 1.98
Be 0.0000 0.2547 0.5839 [4 per cell]  6 Be 2.06-2.26
Be 0.0000 0.5000 0.0878 [2 per cell]  6 Be 2.11-2.29
Sb 0.0000 0.5000 0.3363 [2 per cell]  7 Be 2.47-2.74

crystal system	orthorhombic
energy above the most stable polymorph in this dataset	0	meV per atom

***

Record 7
This record from Alexandria via LeMat-Bulk describes a geometry-optimized Be2Sb3 structure. The functional is PBE-GGA.

a b c (Å): 10.3941 13.6149 6.4406
angles (deg): 90.00 90.00 90.00
Last column: nearest neighbours and their distance in Å.
Space group Fdd2 (No. 43)
Inequivalent atoms, fractional coordinates:
Be 0.1032 0.1628 0.0000 [16 per cell]  4 Sb 2.51-2.54
Sb 0.0000 0.0000 0.0754 [8 per cell]  2 Be 2.51
Sb 0.0338 0.1990 0.6309 [16 per cell]  3 Be 2.51-2.54

crystal system	orthorhombic

***

Record 8
This record from Alexandria via LeMat-Bulk describes a geometry-optimized BeSb structure. The functional is PBE-GGA.

a b c (Å): 3.3928 3.7476 7.8544
angles (deg): 89.99 89.88 64.09
Last column: nearest neighbours and their distance in Å.
Space group P-1 (No. 2)
Inequivalent atoms, fractional coordinates:
Be 0.1559 0.1940 0.4372 [2 per cell]  3 Be 2.29-2.36, 2 Sb 2.45-2.54
Sb 0.1558 0.1911 0.7486 [2 per cell]  4 Be 2.45-2.59

crystal system	triclinic
energy above the most stable polymorph in this dataset	32	meV per atom

***

Record 9
This record from Alexandria via LeMat-Bulk describes a geometry-optimized BeSb structure. The functional is PBE-GGA.

a b c (Å): 6.1907 4.1480 7.1902
angles (deg): 90.00 90.00 90.00
Last column: nearest neighbours and their distance in Å.
Space group Pnma (No. 62)
Inequivalent atoms, fractional coordinates:
Be 0.2391 0.2500 0.1290 [4 per cell]  3 Sb 2.42
Sb 0.1969 0.2500 0.7941 [4 per cell]  3 Be 2.42

crystal system	orthorhombic
energy above the most stable polymorph in this dataset	163	meV per atom

***

Record 10
This record from Alexandria via LeMat-Bulk describes a geometry-optimized BeSb structure. The functional is PBE-GGA.

a b c (Å): 6.5174 6.5174 4.3348
angles (deg): 90.00 90.00 90.00
Last column: nearest neighbours and their distance in Å.
Space group P4_2/mnm (No. 136)
Inequivalent atoms, fractional coordinates:
Be 0.2232 0.2232 0.0000 [4 per cell]  4 Sb 2.42-2.54
Sb 0.1607 0.8393 0.0000 [4 per cell]  4 Be 2.42-2.54

crystal system	tetragonal
energy above the most stable polymorph in this dataset	120	meV per atom

***

no.,formation energy without anion corrections (eV/atom),D(E_F) (states/eV/cell)
1,0.829,3.67
2,1.652,3.80
3,0.308,2.15
4,0.247,4.06
5,0.331,0.80
6,0.261,2.18
7,0.373,14.73
8,0.200,0.45
9,0.331,0.90
10,0.289,1.49